VASP calculation (PBE) on a geometry-optimized Cd2CuGeS4 structure.

Output
* raw formation energy: -0.392 eV per atom
* space group: No. 31
* crystal system: orthorhombic

a b c (Å): 6.4911 6.8927 8.3126
angles (deg): 90.00 90.00 90.00
Fractional positions:
Ge  0.9898  0.1850  0.0000
Cd  0.9995  0.6757  0.2483
S  0.8955  0.3154  0.7286
Cu  0.0003  0.1589  0.5000
S  0.8955  0.3154  0.2714
Cu  0.5003  0.8411  0.0000
S  0.3600  0.1412  0.5000
Cd  0.4995  0.3243  0.2517
Cd  0.4995  0.3243  0.7483
S  0.3597  0.1506  0.0000
Cd  0.9995  0.6757  0.7517
Ge  0.4898  0.8150  0.5000
S  0.3955  0.6846  0.7714
S  0.3955  0.6846  0.2286
S  0.8597  0.8494  0.5000
S  0.8600  0.8588  0.0000